(1)
DFT (PBE) results for an optimized crystal structure of Pr7AsS5.

Crystal system: triclinic
Calculated volume in Å³ per cell: 672.3
DFT total energy in eV per atom: -6.29
DOS at the Fermi energy in states/eV/atom: 0.5228

Unit cell a=4.0936 b=7.0498 c=24.3357 alpha=89.99 beta=90.00 gamma=73.19
Last column: nearest neighbours and their distance in Å.
Space group P-1 (No. 2)
Symmetry-distinct sites (fractional):
Pr 0.0307 0.4397 0.2500 (multiplicity 2)  2 S 2.81, 2 As 2.99
Pr 0.1383 0.2242 0.5377 (multiplicity 2)  6 S 2.83-2.92
Pr 0.1377 0.2255 0.9623 (multiplicity 2)  6 S 2.83-2.91
Pr 0.3115 0.8779 0.1778 (multiplicity 2)  3 S 2.85-2.89, 2 As 3.14
Pr 0.3108 0.8793 0.3221 (multiplicity 2)  3 S 2.84-2.90, 2 As 3.14
Pr 0.4103 0.6789 0.6129 (multiplicity 2)  5 S 2.88-3.00
Pr 0.4096 0.6804 0.8870 (multiplicity 2)  5 S 2.89-3.01
As 0.3081 0.8833 0.7502 (multiplicity 2)  6 Pr 2.99-3.14
S 0.0504 0.3988 0.8565 (multiplicity 2)  6 Pr 2.81-2.89
S 0.0500 0.3996 0.6435 (multiplicity 2)  6 Pr 2.81-2.90
S 0.2242 0.0509 0.4288 (multiplicity 2)  6 Pr 2.84-2.92
S 0.2237 0.0519 0.0712 (multiplicity 2)  6 Pr 2.85-2.91
S 0.5000 0.5000 0.0000 (multiplicity 1)  6 Pr 2.91-3.01
S 0.5000 0.5000 0.5000 (multiplicity 1)  6 Pr 2.91-3.00

=====

(2)
DFT (PBE) results for an optimized crystal structure of HgS2F.

Energy above the lowest structure with this stoichiometry in meV/atom: 95
Crystal system: tetragonal
Calculated volume in Å³ per cell: 330.5
DFT total energy in eV per atom: -2.80
DOS at the Fermi energy in states/eV/atom: 0.2728

Unit cell a=3.6061 b=3.6061 c=25.4125 alpha=90.00 beta=90.00 gamma=90.00
Last column: nearest neighbours and their distance in Å.
Space group I-42d (No. 122)
Symmetry-distinct sites (fractional):
Hg 0.0000 0.0000 0.0000 (multiplicity 4)  4 F 2.55
S 0.1517 0.2500 0.6250 (multiplicity 8)  2 S 2.11
F 0.0000 0.0000 0.5000 (multiplicity 4)  4 Hg 2.55

=====

(3)
DFT (PBE) results for an optimized crystal structure of Pm2YTl3.

Energy of formation in eV per atom: -0.389
Energy above the lowest structure with this stoichiometry in meV/atom: 0
Crystal system: tetragonal
Calculated volume in Å³ per cell: 171.9
DFT total energy in eV per atom: -4.23
DOS at the Fermi energy in states/eV/atom: 0.7962

Unit cell a=3.8187 b=3.8187 c=11.7849 alpha=90.00 beta=90.00 gamma=90.00
Last column: nearest neighbours and their distance in Å.
Space group P4/mmm (No. 123)
Symmetry-distinct sites (fractional):
Pm 0.0000 0.0000 0.1703 (multiplicity 2)  8 Tl 3.36-3.37
Y 0.0000 0.0000 0.5000 (multiplicity 1)  8 Tl 3.29
Tl 0.5000 0.5000 0.0000 (multiplicity 1)  8 Pm 3.36
Tl 0.5000 0.5000 0.3408 (multiplicity 2)  4 Y 3.29, 4 Pm 3.37